## PaAl8C6 (PBE)

Data for a relaxed structure of PaAl8C6.

a b c (Å): 6.2254 6.2254 11.6351
angles (deg): 90.00 90.00 120.00
Last column: nearest neighbours and their distance in Å.
Fractional positions:
Pa 0.0000 0.0000 0.4763  4 C 2.26-2.45
Pa 0.0000 0.0000 0.9763  4 C 2.26-2.45
Al 0.6911 0.6911 0.2657  2 C 1.93-2.09
Al 0.5904 0.5904 0.6092  1 C 1.97
Al 0.4096 0.4096 0.1092  1 C 1.97
Al 0.3089 0.3089 0.7657  2 C 1.93-2.09
Al 0.6667 0.3333 0.9083  3 C 1.96
Al 0.6667 0.3333 0.4083  3 C 1.96
Al 0.3089 0.0000 0.2657  2 C 1.93-2.09
Al 0.4096 0.0000 0.6092  1 C 1.97
Al 0.5904 0.0000 0.1092  1 C 1.97
Al 0.0000 0.6911 0.7657  2 C 1.93-2.09
Al 0.6911 0.0000 0.7657  2 C 1.93-2.09
Al 0.0000 0.5904 0.1092  1 C 1.97
Al 0.3333 0.6667 0.4083  3 C 1.96
Al 0.3333 0.6667 0.9083  3 C 1.96
Al 0.0000 0.4096 0.6092  1 C 1.97
Al 0.0000 0.3089 0.2657  2 C 1.93-2.09
C 0.6125 0.6125 0.4399  4 Al 1.96-2.09
C 0.3875 0.3875 0.9399  4 Al 1.96-2.09
C 0.6667 0.3333 0.7130  7 Al 2.24-2.27
C 0.0000 0.0000 0.7823  3 Al 1.93
C 0.0000 0.0000 0.2823  3 Al 1.93
C 0.6667 0.3333 0.2130  7 Al 2.24-2.27
C 0.3875 0.0000 0.4399  4 Al 1.96-2.09
C 0.0000 0.6125 0.9399  4 Al 1.96-2.09
C 0.6125 0.0000 0.9399  4 Al 1.96-2.09
C 0.3333 0.6667 0.2130  7 Al 2.24-2.27
C 0.3333 0.6667 0.7130  7 Al 2.24-2.27
C 0.0000 0.3875 0.4399  4 Al 1.96-2.09

Summary:
- DFT formation energy (meV/atom) = 208
- size of the total moment (μB per formula unit) = 0.0